A plane-wave DFT calculation with PBE-GGA was carried out for crystalline LaSm2Dy at its relaxed geometry.

abc: 3.6403 3.6403 12.0611
angles: 81.32 81.32 60.00
With the nearest neighbours (Å) after each atom.
Fractional positions:
Sm1 0.0808 0.0808 0.7577  3 Dy 3.57, 6 Sm 3.64, 3 La 3.72
Dy1 0.6665 0.6665 0.0004  6 Sm 3.56-3.57, 6 Dy 3.64
La1 0.5001 0.5001 0.4996  6 La 3.64, 6 Sm 3.71-3.72
Sm2 0.2526 0.2526 0.2422  3 Dy 3.56, 6 Sm 3.64, 3 La 3.71

Total magnetization   0.00 Bohr magnetons per cell
Distance to the lowest polymorph of the same formula   0.001 eV/atom
DOS(E_F)   5.9 states/eV/f.u.
SG   R3m
Density   7.34 g/cm3

A plane-wave DFT calculation with PBE-GGA was carried out for crystalline Pr7SmY2 at its relaxed geometry.

abc: 3.5362 10.5685 10.5685
angles: 109.10 90.00 90.00
With the nearest neighbours (Å) after each atom.
Fractional positions:
Sm1 0.0000 0.0000 0.0000  4 Y 3.38, 2 Sm 3.54
Y1 0.5000 0.8330 0.1670  4 Pr 3.20-3.22, 2 Sm 3.38, 2 Y 3.54
Pr1 0.0000 0.6768 0.3232  2 Y 3.22, 8 Pr 3.52-3.57
Pr2 0.5000 0.6139 0.8744  1 Y 3.20, 4 Pr 3.54-3.57
Pr3 0.0000 0.3232 0.6768  2 Y 3.22, 8 Pr 3.52-3.57
Pr4 0.5000 0.1256 0.3861  1 Y 3.20, 4 Pr 3.54-3.57
Y2 0.5000 0.1670 0.8330  4 Pr 3.20-3.22, 2 Sm 3.38, 2 Y 3.54
Pr5 0.5000 0.3861 0.1256  1 Y 3.20, 4 Pr 3.54-3.57
Pr6 0.5000 0.8744 0.6139  1 Y 3.20, 4 Pr 3.54-3.57
Pr7 0.5000 0.5000 0.5000  10 Pr 3.52-3.74

Total magnetization   0.00 Bohr magnetons per cell
Distance to the lowest polymorph of the same formula   0.000 eV/atom
DOS(E_F)   16.2 states/eV/f.u.
SG   Cmmm
Density   5.85 g/cm3